[1]
Compound: HIrRu2Au
Source: Alexandria via LeMat-Bulk
Functional: PBE
Structure: optimized geometry

Unit cell a=4.8425 b=4.8425 c=3.1948 alpha=90.00 beta=90.00 gamma=90.00
Sites, in units of the cell vectors:
H  0.0000  0.0000  0.0000
Ir  0.0000  0.0000  0.5000
Ru  0.0000  0.5000  0.5000
Ru  0.5000  0.0000  0.5000
Au  0.5000  0.5000  0.0000

[2]
Compound: PaSiNi11
Source: Alexandria via LeMat-Bulk
Functional: PBE
Structure: optimized geometry

Unit cell a=6.2169 b=6.2169 c=6.1937 alpha=97.52 beta=97.52 gamma=135.78
Sites, in units of the cell vectors:
Pa  0.0000  0.0000  0.0000
Si  0.5000  0.5000  0.5000
Ni  0.0000  0.0000  0.5000
Ni  0.0000  0.5000  0.0000
Ni  0.0095  0.6592  0.6500
Ni  0.2881  0.5071  0.7770
Ni  0.3408  0.9905  0.3500
Ni  0.4929  0.7119  0.2230
Ni  0.5000  0.0000  0.0000
Ni  0.5071  0.2881  0.7770
Ni  0.6592  0.0095  0.6500
Ni  0.7119  0.4929  0.2230
Ni  0.9905  0.3408  0.3500

Properties
The value obtained for the energy relative to the elements, uncorrected is -4.04 eV/f.u.

Result set for calculated total energy: -29.08 -82.55 eV for the cell shown, one per record in the order listed.